No. 1
Nd4AsAuSe2 GGA-PBE relaxed; total DFT energy (no corrections) = -5.732 eV per atom; space-group type = P2/m, No. 10; formation energy from raw total energies = -1.486 eV/atom
1.0
4.2256 0.0000 0.0000
0.0000 7.4228 -0.1853
0.0000 2.5763 6.9576
Se Nd Au As
2 4 1 1
direct
0.0000 0.0000 0.0000 Se
0.5000 0.0000 0.5000 Se
0.0000 0.7515 0.7446 Nd
0.5000 0.7467 0.2581 Nd
0.5000 0.2533 0.7419 Nd
0.0000 0.2485 0.2554 Nd
0.5000 0.5000 0.0000 Au
0.0000 0.5000 0.5000 As

No. 2
NiAsAu2 GGA-PBE relaxed; total DFT energy (no corrections) = -4.070 eV per atom; space-group type = P4/mmm, No. 123; calculated formation energy = 17.1 kJ per mole of atoms
1.0
2.8796 0.0157 0.0000
-0.0157 2.8796 0.0000
0.0000 0.0000 8.0603
Au Ni As
2 1 1
direct
0.0000 0.0000 0.0311 Au
0.0000 0.0000 0.4689 Au
0.5000 0.5000 0.2500 Ni
0.5000 0.5000 0.7500 As

No. 3
NiAs2Au GGA-PBE relaxed; total DFT energy (no corrections) = -4.455 eV per atom; space-group type = P2/m, No. 10; calculated formation energy = 13.0 kJ per mole of atoms; ΔE to the lowest computed polymorph = 106 meV per atom
1.0
-2.8445 -0.0919 1.5953
1.6100 -1.7031 2.7725
1.4674 4.7448 2.8899
As Au Ni
2 1 1
direct
0.0000 0.0761 0.2154 As
0.0000 0.9239 0.7846 As
0.5000 0.5000 0.5000 Au
0.5000 0.5000 0.0000 Ni

No. 4
Ni3AsAu GGA-PBE relaxed; total DFT energy (no corrections) = -3.783 eV per atom; space-group type = Pm-3m, No. 221; calculated formation energy = 122.7 kJ per mole of atoms; ΔE to the lowest computed polymorph = 878 meV per atom
1.0
-2.8339 -3.4350 -1.3149
2.2100 -0.2633 -4.0750
2.9401 -3.1129 1.7957
Ni As Au
3 1 1
direct
0.0000 0.0000 0.5000 Ni
0.5000 0.0000 0.0000 Ni
0.0000 0.5000 0.0000 Ni
0.5000 0.5000 0.5000 As
0.0000 0.0000 0.0000 Au

No. 5
NiAs2Au GGA-PBE relaxed; total DFT energy (no corrections) = -4.560 eV per atom; space-group type = C2/m, No. 12; calculated formation energy = 2.9 kJ per mole of atoms; ΔE to the lowest computed polymorph = 1 meV per atom
1.0
-0.4688 0.9570 3.5118
-2.3202 -1.9191 2.0982
3.6765 -3.9458 3.2128
Au As Ni
1 2 1
direct
0.7500 0.7500 0.7500 Au
0.9692 0.9692 0.0553 As
0.5308 0.5308 0.4447 As
0.2500 0.2500 0.2500 Ni

No. 6
NiAs2Au GGA-PBE relaxed; total DFT energy (no corrections) = -4.523 eV per atom; space-group type = Cm, No. 8; calculated formation energy = 6.4 kJ per mole of atoms; ΔE to the lowest computed polymorph = 37 meV per atom
1.0
-3.1053 1.2924 -3.8032
-2.2266 -1.4307 -4.3328
-4.7284 -1.8147 1.4861
Ni As Au
1 2 1
direct
0.3008 0.3008 0.3843 Ni
0.7084 0.7084 0.7473 As
0.9150 0.9150 0.0290 As
0.5758 0.5758 0.3394 Au

No. 7
NiAsAu2 GGA-PBE relaxed; total DFT energy (no corrections) = -4.058 eV per atom; space-group type = P2/m, No. 10; calculated formation energy = 18.2 kJ per mole of atoms
1.0
4.6558 0.0000 0.0000
0.0000 3.6893 0.0320
0.0000 0.1755 4.0422
As Au Ni
1 2 1
direct
0.5000 0.7500 0.7500 As
0.0000 0.0053 0.0049 Au
0.0000 0.4947 0.4951 Au
0.5000 0.2500 0.2500 Ni

No. 8
NiAs2Au GGA-PBE relaxed; total DFT energy (no corrections) = -4.518 eV per atom; space-group type = P4mm, No. 99; calculated formation energy = 6.9 kJ per mole of atoms; ΔE to the lowest computed polymorph = 43 meV per atom
1.0
-1.6040 0.4016 2.4124
1.1236 -2.4414 1.1536
5.8550 4.2034 3.1933
Au Ni As
1 1 2
direct
0.0000 0.0000 0.5287 Au
0.5000 0.5000 0.7709 Ni
0.0000 0.0000 0.9332 As
0.5000 0.5000 0.2671 As

No. 9
NiAsAu3 GGA-PBE relaxed; total DFT energy (no corrections) = -3.259 eV per atom; space-group type = Pm-3m, No. 221; calculated formation energy = 76.6 kJ per mole of atoms; ΔE to the lowest computed polymorph = 0 meV per atom
1.0
4.8448 0.0000 0.0000
0.0000 4.8448 0.0000
0.0000 0.0000 4.8448
Au Ni As
3 1 1
direct
0.5000 0.0000 0.0000 Au
0.0000 0.5000 0.0000 Au
0.0000 0.0000 0.5000 Au
0.5000 0.5000 0.5000 Ni
0.0000 0.0000 0.0000 As

No. 10
NiAsAu GGA-PBE relaxed; total DFT energy (no corrections) = -4.625 eV per atom; space-group type = R3m, No. 160; calculated formation energy = -5.4 kJ per mole of atoms; ΔE to the lowest computed polymorph = 28 meV per atom
1.0
-1.1542 2.8027 0.4516
-1.1706 -1.8059 -2.1816
-12.0346 -6.9197 12.1857
Ni As Au
3 3 3
direct
0.3333 0.6667 0.9493 Ni
0.6667 0.3333 0.6160 Ni
0.0000 0.0000 0.2827 Ni
0.0000 0.0000 0.6967 As
0.3333 0.6667 0.3634 As
0.6667 0.3333 0.0301 As
0.3333 0.6667 0.5053 Au
0.6667 0.3333 0.1720 Au
0.0000 0.0000 0.8387 Au

No. 11
NiAs2Au GGA-PBE relaxed; total DFT energy (no corrections) = -4.222 eV per atom; space-group type = F-43m, No. 216; calculated formation energy = 35.5 kJ per mole of atoms; ΔE to the lowest computed polymorph = 339 meV per atom
1.0
4.5727 0.0000 0.0000
2.2864 3.9601 0.0000
2.2864 1.3200 3.7336
Ni As Au
1 2 1
direct
0.7500 0.7500 0.7500 Ni
0.0000 0.0000 0.0000 As
0.2500 0.2500 0.2500 As
0.5000 0.5000 0.5000 Au

No. 12
NiAsAu2 GGA-PBE relaxed; total DFT energy (no corrections) = -4.237 eV per atom; space-group type = P4mm, No. 99; calculated formation energy = 0.9 kJ per mole of atoms
1.0
3.0277 0.0000 0.0000
0.0000 3.0275 0.0000
0.0000 0.0000 7.1769
Ni Au As
1 2 1
direct
0.0000 0.0000 0.5263 Ni
0.0000 0.0000 0.0016 Au
0.5000 0.5000 0.2795 Au
0.5000 0.5000 0.6926 As

Number 1: DOS at the Fermi energy 0.501 states/eV per atom. Number 2: DOS at the Fermi energy 0.759 states/eV per atom. Number 3: DOS at the Fermi energy 0.356 states/eV per atom. Number 4: DOS at the Fermi energy 2.954 states/eV per atom. Number 5: DOS at the Fermi energy 0.479 states/eV per atom. Number 6: DOS at the Fermi energy 0.447 states/eV per atom. Number 7: DOS at the Fermi energy 0.563 states/eV per atom. Number 8: DOS at the Fermi energy 0.411 states/eV per atom. Number 9: DOS at the Fermi energy 0.677 states/eV per atom. Number 10: DOS at the Fermi energy 0.105 states/eV per atom. Number 11: DOS at the Fermi energy 0.865 states/eV per atom. Number 12: DOS at the Fermi energy 0.273 states/eV per atom.